Entry 1:
Computed, not measured: a relaxed Zr4CdRe crystal at the PBE level of DFT.

Cell and atoms, written as CIF:
```
data_Zr4CdRe
_symmetry_space_group_name_H-M 'C 1 2/m 1'
_symmetry_Int_Tables_number 12
_cell_length_a 8.3405
_cell_length_b 4.7950
_cell_length_c 7.8375
_cell_angle_alpha 90.00
_cell_angle_beta 110.68
_cell_angle_gamma 90.00
loop_
_symmetry_equiv_pos_as_xyz
'x,y,z'
'-x,-y,-z'
'-x,y,-z'
'x,-y,z'
'x+1/2,y+1/2,z'
'-x+1/2,-y+1/2,-z'
'-x+1/2,y+1/2,-z'
'x+1/2,-y+1/2,z'
loop_
_atom_site_label
_atom_site_fract_x
_atom_site_fract_y
_atom_site_fract_z
Zr1 0.1178 0.0000 0.3515
Zr2 0.1352 0.5000 0.9059
Cd1 0.0000 0.5000 0.5000
Re1 0.0000 0.0000 0.0000
```

As for the total magnetization: 0.00 μB per atom. The density of states at the Fermi level is 1.306 states/eV per atom. Its energy relative to the elements is 245 meV per atom. The value obtained for the total energy is -7.68 eV/atom. As for the crystal system: monoclinic. The distance to the lowest polymorph of the same formula is 0.000 eV per atom.

Entry 2:
Computed, not measured: a relaxed Zr2CdRe crystal at the PBE level of DFT.

Cell and atoms, written as CIF:
```
data_Zr2CdRe
_symmetry_space_group_name_H-M 'F -4 3 m'
_symmetry_Int_Tables_number 216
_symmetry_space_group_name_Hall 'F -4 2 3'
_cell_length_a 6.7618
_cell_length_b 6.7618
_cell_length_c 6.7618
_cell_angle_alpha 90.00
_cell_angle_beta 90.00
_cell_angle_gamma 90.00
loop_
_atom_site_label
_atom_site_fract_x
_atom_site_fract_y
_atom_site_fract_z
Zr1 0.0000 0.0000 0.0000
Zr2 0.2500 0.2500 0.2500
Cd1 0.2500 0.2500 0.7500
Re1 0.0000 0.0000 0.5000
```

As for the total magnetization: 0.00 μB per atom. The density of states at the Fermi level is 1.222 states/eV per atom. Its energy relative to the elements is 201 meV per atom. The value obtained for the total energy is -7.41 eV/atom. As for the crystal system: cubic.

Entry 3:
Computed, not measured: a relaxed Zr4Cd3Re crystal at the PBE level of DFT.

Cell and atoms, written as CIF:
```
data_Zr4Cd3Re
_symmetry_space_group_name_H-M 'P 4/m m m'
_symmetry_Int_Tables_number 123
_symmetry_space_group_name_Hall '-P 4 2'
_cell_length_a 3.3197
_cell_length_b 3.3197
_cell_length_c 15.3458
_cell_angle_alpha 90.00
_cell_angle_beta 90.00
_cell_angle_gamma 90.00
loop_
_atom_site_label
_atom_site_fract_x
_atom_site_fract_y
_atom_site_fract_z
Zr1 0.0000 0.0000 0.1031
Zr2 0.0000 0.0000 0.3672
Cd1 0.5000 0.5000 0.2386
Cd2 0.5000 0.5000 0.5000
Re1 0.5000 0.5000 0.0000
```

As for the total magnetization: 0.00 μB per atom. The density of states at the Fermi level is 0.735 states/eV per atom. Its energy relative to the elements is -152 meV per atom. The value obtained for the total energy is -6.33 eV/atom. As for the crystal system: tetragonal.

Entry 4:
Computed, not measured: a relaxed Zr2CdRe crystal at the PBE level of DFT.

Cell and atoms, written as CIF:
```
data_Zr2CdRe
_symmetry_space_group_name_H-M 'P 4 m m'
_symmetry_Int_Tables_number 99
_cell_length_a 2.8875
_cell_length_b 2.8875
_cell_length_c 9.5334
_cell_angle_alpha 90.00
_cell_angle_beta 90.00
_cell_angle_gamma 90.00
loop_
_symmetry_equiv_pos_as_xyz
'x,y,z'
'-y,x,z'
'-x,-y,z'
'y,-x,z'
'-x,y,z'
'y,x,z'
'x,-y,z'
'-y,-x,z'
loop_
_atom_site_label
_atom_site_fract_x
_atom_site_fract_y
_atom_site_fract_z
Zr1 0.0000 0.0000 0.0000
Zr2 0.5000 0.5000 0.2736
Cd1 0.0000 0.0000 0.5342
Re1 0.5000 0.5000 0.7623
```

As for the total magnetization: 0.00 μB per atom. The density of states at the Fermi level is 1.133 states/eV per atom. Its energy relative to the elements is 316 meV per atom. The value obtained for the total energy is -7.30 eV/atom. As for the crystal system: tetragonal.

Entry 5:
Computed, not measured: a relaxed Zr4CdRe crystal at the PBE level of DFT.

Cell and atoms, written as CIF:
```
data_Zr4CdRe
_symmetry_space_group_name_H-M 'F -4 3 m'
_symmetry_Int_Tables_number 216
_symmetry_space_group_name_Hall 'F -4 2 3'
_cell_length_a 7.9643
_cell_length_b 7.9643
_cell_length_c 7.9643
_cell_angle_alpha 90.00
_cell_angle_beta 90.00
_cell_angle_gamma 90.00
loop_
_atom_site_label
_atom_site_fract_x
_atom_site_fract_y
_atom_site_fract_z
Zr1 0.1227 0.1227 0.3773
Cd1 0.0000 0.0000 0.0000
Re1 0.2500 0.2500 0.7500
```

As for the total magnetization: 0.00 μB per atom. The density of states at the Fermi level is 1.097 states/eV per atom. Its energy relative to the elements is 532 meV per atom. The value obtained for the total energy is -7.39 eV/atom. As for the crystal system: cubic. The distance to the lowest polymorph of the same formula is 0.286 eV per atom.

Entry 6:
Computed, not measured: a relaxed ZrCdRe2 crystal at the PBE level of DFT.

Cell and atoms, written as CIF:
```
data_ZrCdRe2
_symmetry_space_group_name_H-M 'P m m m'
_symmetry_Int_Tables_number 47
_cell_length_a 2.9470
_cell_length_b 4.4195
_cell_length_c 5.9126
_cell_angle_alpha 90.00
_cell_angle_beta 90.00
_cell_angle_gamma 90.00
loop_
_symmetry_equiv_pos_as_xyz
'x,y,z'
'-x,-y,-z'
'-x,-y,z'
'x,y,-z'
'x,-y,-z'
'-x,y,z'
'-x,y,-z'
'x,-y,z'
loop_
_atom_site_label
_atom_site_fract_x
_atom_site_fract_y
_atom_site_fract_z
Zr1 0.0000 0.0000 0.0000
Cd1 0.0000 0.0000 0.5000
Re1 0.5000 0.5000 0.1980
```

As for the total magnetization: 0.00 μB per atom. The density of states at the Fermi level is 0.881 states/eV per atom. Its energy relative to the elements is 425 meV per atom. The value obtained for the total energy is -8.16 eV/atom. As for the crystal system: orthorhombic.

Entry 7:
Computed, not measured: a relaxed Zr2CdRe crystal at the PBE level of DFT.

Cell and atoms, written as CIF:
```
data_Zr2CdRe
_symmetry_space_group_name_H-M 'C m m m'
_symmetry_Int_Tables_number 65
_symmetry_space_group_name_Hall '-C 2 2'
_cell_length_a 3.4428
_cell_length_b 4.9321
_cell_length_c 9.4849
_cell_angle_alpha 90.00
_cell_angle_beta 90.00
_cell_angle_gamma 90.00
loop_
_atom_site_label
_atom_site_fract_x
_atom_site_fract_y
_atom_site_fract_z
Zr1 0.0000 0.0000 0.2229
Cd1 0.0000 0.5000 0.5000
Re1 0.0000 0.5000 0.0000
```

As for the total magnetization: 0.00 μB per atom. The density of states at the Fermi level is 0.724 states/eV per atom. Its energy relative to the elements is -59 meV per atom. The value obtained for the total energy is -7.67 eV/atom. As for the crystal system: orthorhombic.

Entry 8:
Computed, not measured: a relaxed Zr3CdRe crystal at the PBE level of DFT.

Cell and atoms, written as CIF:
```
data_Zr3CdRe
_symmetry_space_group_name_H-M 'P m -3 m'
_symmetry_Int_Tables_number 221
_symmetry_space_group_name_Hall '-P 4 2 3'
_cell_length_a 5.0907
_cell_length_b 5.0907
_cell_length_c 5.0907
_cell_angle_alpha 90.00
_cell_angle_beta 90.00
_cell_angle_gamma 90.00
loop_
_atom_site_label
_atom_site_fract_x
_atom_site_fract_y
_atom_site_fract_z
Zr1 0.0000 0.0000 0.5000
Cd1 0.5000 0.5000 0.5000
Re1 0.0000 0.0000 0.0000
```

As for the total magnetization: 0.22 μB per atom. The density of states at the Fermi level is 1.408 states/eV per atom. Its energy relative to the elements is 497 meV per atom. The value obtained for the total energy is -7.30 eV/atom. As for the crystal system: cubic. The distance to the lowest polymorph of the same formula is 0.000 eV per atom.

Entry 9:
Computed, not measured: a relaxed ZrCdRe2 crystal at the PBE level of DFT.

Cell and atoms, written as CIF:
```
data_ZrCdRe2
_symmetry_space_group_name_H-M 'C m m 2'
_symmetry_Int_Tables_number 35
_cell_length_a 3.2547
_cell_length_b 4.6218
_cell_length_c 9.5101
_cell_angle_alpha 90.00
_cell_angle_beta 90.00
_cell_angle_gamma 90.00
loop_
_symmetry_equiv_pos_as_xyz
'x,y,z'
'-x,-y,z'
'-x,y,z'
'x,-y,z'
'x+1/2,y+1/2,z'
'-x+1/2,-y+1/2,z'
'-x+1/2,y+1/2,z'
'x+1/2,-y+1/2,z'
loop_
_atom_site_label
_atom_site_fract_x
_atom_site_fract_y
_atom_site_fract_z
Zr1 0.0000 0.0000 0.0000
Cd1 0.0000 0.5000 0.2832
Re1 0.0000 0.0000 0.5422
Re2 0.0000 0.5000 0.7571
```

As for the total magnetization: 0.00 μB per atom. The density of states at the Fermi level is 0.817 states/eV per atom. Its energy relative to the elements is 270 meV per atom. The value obtained for the total energy is -8.32 eV/atom. As for the crystal system: orthorhombic.

Entry 10:
Computed, not measured: a relaxed Zr2CdRe crystal at the PBE level of DFT.

Cell and atoms, written as CIF:
```
data_Zr2CdRe
_symmetry_space_group_name_H-M 'P 4/m m m'
_symmetry_Int_Tables_number 123
_symmetry_space_group_name_Hall '-P 4 2'
_cell_length_a 4.7542
_cell_length_b 4.7542
_cell_length_c 3.4788
_cell_angle_alpha 90.00
_cell_angle_beta 90.00
_cell_angle_gamma 90.00
loop_
_atom_site_label
_atom_site_fract_x
_atom_site_fract_y
_atom_site_fract_z
Zr1 0.0000 0.5000 0.0000
Cd1 0.0000 0.0000 0.5000
Re1 0.5000 0.5000 0.5000
```

As for the total magnetization: 0.00 μB per atom. The density of states at the Fermi level is 0.857 states/eV per atom. Its energy relative to the elements is -91 meV per atom. The value obtained for the total energy is -7.71 eV/atom. As for the crystal system: tetragonal.

Entry 11:
Computed, not measured: a relaxed ZrCdRe2 crystal at the PBE level of DFT.

Cell and atoms, written as CIF:
```
data_ZrCdRe2
_symmetry_space_group_name_H-M 'P 4/m m m'
_symmetry_Int_Tables_number 123
_symmetry_space_group_name_Hall '-P 4 2'
_cell_length_a 2.7488
_cell_length_b 2.7488
_cell_length_c 9.4122
_cell_angle_alpha 90.00
_cell_angle_beta 90.00
_cell_angle_gamma 90.00
loop_
_atom_site_label
_atom_site_fract_x
_atom_site_fract_y
_atom_site_fract_z
Zr1 0.0000 0.0000 0.0000
Cd1 0.0000 0.0000 0.5000
Re1 0.5000 0.5000 0.2524
```

As for the total magnetization: 0.00 μB per atom. The density of states at the Fermi level is 1.065 states/eV per atom. Its energy relative to the elements is 521 meV per atom. The value obtained for the total energy is -8.07 eV/atom. As for the crystal system: tetragonal.

Entry 12:
Computed, not measured: a relaxed Zr2CdRe crystal at the PBE level of DFT.

Cell and atoms, written as CIF:
```
data_Zr2CdRe
_symmetry_space_group_name_H-M 'I -4 2 d'
_symmetry_Int_Tables_number 122
_symmetry_space_group_name_Hall 'I -4 2bw'
_cell_length_a 7.6875
_cell_length_b 7.6875
_cell_length_c 5.8140
_cell_angle_alpha 90.00
_cell_angle_beta 90.00
_cell_angle_gamma 90.00
loop_
_atom_site_label
_atom_site_fract_x
_atom_site_fract_y
_atom_site_fract_z
Zr1 0.2166 0.2500 0.1250
Cd1 0.0000 0.0000 0.5000
Re1 0.0000 0.0000 0.0000
```

As for the total magnetization: 0.00 μB per atom. The density of states at the Fermi level is 0.820 states/eV per atom. Its energy relative to the elements is 405 meV per atom. The value obtained for the total energy is -7.21 eV/atom. As for the crystal system: tetragonal.

Entry 13:
Computed, not measured: a relaxed ZrCdRe2 crystal at the PBE level of DFT.

Cell and atoms, written as CIF:
```
data_ZrCdRe2
_symmetry_space_group_name_H-M 'P 1 m 1'
_symmetry_Int_Tables_number 6
_cell_length_a 2.8483
_cell_length_b 4.4769
_cell_length_c 5.7464
_cell_angle_alpha 90.00
_cell_angle_beta 103.93
_cell_angle_gamma 90.00
loop_
_symmetry_equiv_pos_as_xyz
'x,y,z'
'x,-y,z'
loop_
_atom_site_label
_atom_site_fract_x
_atom_site_fract_y
_atom_site_fract_z
Zr1 0.0000 0.0000 0.0000
Cd1 0.6530 0.5000 0.2520
Re1 0.2829 0.5000 0.7218
Re2 0.5007 0.0000 0.5372
```

As for the total magnetization: 0.00 μB per atom. The density of states at the Fermi level is 0.532 states/eV per atom. Its energy relative to the elements is 216 meV per atom. The value obtained for the total energy is -8.37 eV/atom. As for the crystal system: monoclinic.

Entry 14:
Computed, not measured: a relaxed ZrCdRe2 crystal at the PBE level of DFT.

Cell and atoms, written as CIF:
```
data_ZrCdRe2
_symmetry_space_group_name_H-M 'C 1 m 1'
_symmetry_Int_Tables_number 8
_cell_length_a 10.5718
_cell_length_b 3.2519
_cell_length_c 4.6810
_cell_angle_alpha 90.00
_cell_angle_beta 116.19
_cell_angle_gamma 90.00
loop_
_symmetry_equiv_pos_as_xyz
'x,y,z'
'x,-y,z'
'x+1/2,y+1/2,z'
'x+1/2,-y+1/2,z'
loop_
_atom_site_label
_atom_site_fract_x
_atom_site_fract_y
_atom_site_fract_z
Zr1 0.0000 0.0000 0.0000
Cd1 0.2210 0.0000 0.7205
Re1 0.2567 0.5000 0.2562
Re2 0.4638 0.0000 0.4639
```

As for the total magnetization: 0.00 μB per atom. The density of states at the Fermi level is 0.574 states/eV per atom. Its energy relative to the elements is 233 meV per atom. The value obtained for the total energy is -8.36 eV/atom. As for the crystal system: monoclinic.

Entry 15:
Computed, not measured: a relaxed ZrCdRe2 crystal at the PBE level of DFT.

Cell and atoms, written as CIF:
```
data_ZrCdRe2
_symmetry_space_group_name_H-M 'R 3 m'
_symmetry_Int_Tables_number 160
_symmetry_space_group_name_Hall 'R 3 -2"'
_cell_length_a 2.8813
_cell_length_b 2.8813
_cell_length_c 29.8548
_cell_angle_alpha 90.00
_cell_angle_beta 90.00
_cell_angle_gamma 120.00
loop_
_atom_site_label
_atom_site_fract_x
_atom_site_fract_y
_atom_site_fract_z
Zr1 0.0000 0.0000 0.0000
Cd1 0.0000 0.0000 0.7602
Re1 0.0000 0.0000 0.2468
Re2 0.0000 0.0000 0.5118
```

As for the total magnetization: 0.00 μB per atom. The density of states at the Fermi level is 0.906 states/eV per atom. Its energy relative to the elements is 198 meV per atom. The value obtained for the total energy is -8.39 eV/atom. As for the crystal system: trigonal.